Entry from Alexandria via LeMat-Bulk: a geometry-optimized K3CeY2S6 structure (GGA-PBE).

**Energy**: -5.764 eV/atom
**Crystal system**: monoclinic
**Formation energy (no corrections)**: -42.75 kcal/mol of atoms

Cell lengths 7.125, 12.341, 7.742 Å; angles 90.00, 107.87, 90.00 degrees
Space group C2/m (No. 12)
Inequivalent atoms, fractional coordinates:
K: 0.000 0.000 0.000 [2 per cell]
K: 0.000 0.334 0.000 [4 per cell]
Ce: 0.000 0.500 0.500 [2 per cell]
Y: 0.000 0.167 0.500 [4 per cell]
S: 0.227 0.000 0.703 [4 per cell]
S: 0.238 0.329 0.703 [8 per cell]